LiZn2GaPd PBE-GGA optimized geometry; space-group type = Cmcm; crystal system = orthorhombic; DFT total energy = -28.94 eV/cell; ΔE_f = -0.358 eV per atom
1.0
4.379 0.000 0.000
-2.189 4.720 0.000
0.000 0.000 7.758
Li Zn Ga Pd
2 4 2 2
Cartesian
0.000 0.476 5.819
2.189 4.244 1.940
0.000 1.929 0.555
2.189 2.791 4.434
0.000 1.929 3.325
2.189 2.791 7.204
2.189 0.000 3.879
2.189 0.000 0.000
2.189 1.535 1.940
0.000 3.185 5.819

***

Li2ZnGaPd PBE-GGA optimized geometry; space-group type = Cmcm; crystal system = orthorhombic; DFT total energy = -29.78 eV/cell; ΔE_f = -0.313 eV per atom
1.0
-2.256 3.287 0.755
-2.282 -3.431 -2.787
-2.862 -3.488 6.635
Li Zn Ga Pd
4 2 2 2
Cartesian
-1.553 -0.947 -0.517
-4.799 -1.407 2.692
-2.600 -2.223 1.911
-5.847 -2.684 5.120
-2.925 0.205 1.272
-4.475 -3.836 3.330
-2.559 -0.100 3.695
-1.128 1.644 0.378
-2.539 -2.822 4.699
-4.861 -0.809 -0.096

***

Li2Zn5GaPd2 PBE-GGA optimized geometry; space-group type = P4/mbm; crystal system = tetragonal; DFT total energy = -52.74 eV/cell; ΔE_f = -0.276 eV per atom
1.0
4.005 0.000 0.000
0.000 9.003 0.000
0.000 0.000 9.003
Li Zn Ga Pd
4 10 2 4
Cartesian
0.000 6.043 1.542
0.000 2.960 7.461
0.000 1.542 2.960
0.000 7.461 6.043
2.002 1.773 0.736
2.002 7.230 8.267
2.002 0.736 7.230
2.002 6.275 3.765
2.002 8.267 1.773
2.002 2.728 5.238
2.002 5.238 6.275
2.002 3.765 2.728
2.002 4.502 0.000
2.002 0.000 4.502
0.000 0.000 0.000
0.000 4.502 4.502
0.000 1.105 5.607
0.000 7.898 3.396
0.000 5.607 7.898
0.000 3.396 1.105

***

Li4PmGa4 PBE-GGA optimized geometry; space-group type = P4_2/nmc; crystal system = tetragonal; DFT total energy = -53.96 eV/cell; ΔE_f = -0.274 eV per atom
1.0
-5.202 2.499 1.274
-0.558 -3.552 4.690
4.323 6.305 5.289
Li Pm Ga
8 2 8
Cartesian
2.517 4.585 7.496
-0.328 5.951 8.192
-2.683 -0.989 4.692
-2.378 0.954 2.127
1.407 0.062 5.625
1.660 1.671 3.500
1.089 4.345 3.420
-1.269 5.477 3.998
0.000 0.000 0.000
-0.718 2.625 5.627
0.372 3.450 8.461
0.683 5.434 5.841
-3.417 1.506 4.458
-0.511 0.111 3.747
-0.207 2.514 1.880
-2.503 3.617 2.442
2.922 3.496 5.075
2.676 1.928 7.145

***

Li2PmGa2 PBE-GGA optimized geometry; energy relative to the lowest polymorph listed for this composition = 0.095 eV per formula unit; space-group type = I4/mmm; crystal system = tetragonal; DFT total energy = -16.45 eV/cell; ΔE_f = -0.363 eV per atom
1.0
-3.845 -1.526 -0.311
1.514 -3.464 -1.710
1.702 0.031 6.477
Li Pm Ga
2 1 2
Cartesian
-1.655 -1.995 2.578
1.025 -2.964 1.878
0.000 0.000 0.000
-1.054 -3.010 0.130
0.424 -1.950 4.325

***

LiPm6Ga5 PBE-GGA optimized geometry; space-group type = Cmmm; crystal system = orthorhombic; DFT total energy = -51.44 eV/cell; ΔE_f = -0.491 eV per atom
1.0
4.946 -0.030 1.648
0.039 7.312 0.013
-0.010 -0.015 8.274
Pm Ga Li
6 5 1
Cartesian
4.132 5.455 4.190
4.112 1.798 4.183
2.483 1.866 0.828
2.502 5.416 0.834
0.863 5.469 5.752
0.844 1.813 5.746
3.305 3.626 6.639
1.699 -0.015 3.146
0.020 3.656 0.007
3.237 -0.030 6.777
1.671 3.641 3.296
0.000 0.000 0.000

***

LiPm5Ga4 PBE-GGA optimized geometry; space-group type = P4/mmm; crystal system = tetragonal; DFT total energy = -42.29 eV/cell; ΔE_f = -0.451 eV per atom
1.0
3.666 0.000 0.000
0.000 3.666 0.000
0.000 0.000 18.787
Li Pm Ga
1 5 4
Cartesian
0.000 0.000 0.000
1.833 1.833 2.099
1.833 1.833 5.727
1.833 1.833 9.394
1.833 1.833 13.060
1.833 1.833 16.688
0.000 0.000 3.808
0.000 0.000 7.556
0.000 0.000 11.231
0.000 0.000 14.979

***

LiPmGa2 PBE-GGA optimized geometry; space-group type = Pnma; crystal system = orthorhombic; DFT total energy = -58.20 eV/cell; ΔE_f = -0.458 eV per atom
1.0
-3.486 -1.336 1.058
-1.450 -1.820 -7.075
4.619 -10.637 1.790
Li Pm Ga
4 4 8
Cartesian
-2.947 -2.210 -1.828
2.631 -11.583 -2.400
-1.806 -7.415 -4.643
1.490 -6.378 0.415
-1.469 -5.505 -1.118
1.152 -8.288 -3.110
-3.223 -4.043 -5.055
2.907 -9.750 0.827
0.606 -3.904 0.624
-0.922 -9.888 -4.851
-0.859 -3.111 -3.201
0.543 -10.682 -1.027
-0.511 -2.146 -0.837
0.195 -11.647 -3.391
-0.199 -5.444 -3.973
-0.117 -8.349 -0.255

***

LiPmGa2 PBE-GGA optimized geometry; space-group type = R-3m; crystal system = trigonal; DFT total energy = -14.67 eV/cell; ΔE_f = -0.489 eV per atom
1.0
4.332 0.000 0.000
2.166 3.752 0.000
2.166 1.251 5.169
Li Ga Pm
1 2 1
Cartesian
4.332 2.501 2.584
6.499 3.752 3.249
2.166 1.251 1.920
0.000 0.000 0.000

***

LiPm4Ga2 PBE-GGA optimized geometry; space-group type = R-3m; crystal system = trigonal; DFT total energy = -29.02 eV/cell; ΔE_f = -0.293 eV per atom
1.0
4.938 0.000 1.543
2.228 4.407 1.543
-0.020 -0.012 8.738
Li Pm Ga
1 4 2
Cartesian
0.000 0.000 0.000
6.210 3.819 6.148
0.937 0.576 5.675
4.398 2.705 3.272
2.749 1.690 8.552
5.297 3.258 9.069
1.850 1.137 2.755

***

LiPmGa6 PBE-GGA optimized geometry; space-group type = Pmm2; crystal system = orthorhombic; DFT total energy = -27.26 eV/cell; ΔE_f = -0.304 eV per atom
1.0
-3.749 -2.273 0.197
1.501 -2.063 4.760
-2.852 4.967 3.051
Li Pm Ga
1 1 6
Cartesian
-2.744 0.581 3.390
0.992 -1.363 3.146
-1.428 -1.442 5.078
-1.790 3.214 3.037
-0.533 1.026 1.692
-2.600 0.599 6.332
-0.424 1.106 4.703
-1.524 -1.619 1.210

***

LiPm4Ga12 PBE-GGA optimized geometry; space-group type = Im-3m; crystal system = cubic; DFT total energy = -66.57 eV/cell; ΔE_f = -0.549 eV per atom
1.0
1.583 5.169 -5.385
5.263 -5.523 -0.151
-6.887 -3.012 -1.312
Li Pm Ga
1 4 12
Cartesian
0.000 0.000 0.000
-3.443 -1.506 -0.656
0.791 2.585 -2.692
-0.020 -1.683 -3.424
2.631 -2.761 -0.075
-0.486 -2.557 -0.438
-1.137 -5.979 -1.025
4.795 -0.248 -3.877
2.051 -0.106 -1.658
-1.589 0.646 -2.006
-3.715 1.511 -4.691
-3.058 -1.055 -3.714
3.017 -2.311 -3.133
-0.940 0.990 -4.732
0.899 -4.356 -2.115
2.097 0.362 -4.442
-2.138 -3.728 -2.406

***

Li2PmGa6 PBE-GGA optimized geometry; space-group type = P6/mmm; crystal system = hexagonal; DFT total energy = -29.62 eV/cell; ΔE_f = -0.320 eV per atom
1.0
-2.721 -1.654 -1.431
4.755 -5.199 -3.032
-2.978 -1.135 6.977
Li Pm Ga
2 1 6
Cartesian
-0.401 -2.490 3.640
-0.544 -5.498 -1.127
-2.978 -1.135 6.977
-0.758 -2.975 0.622
-0.186 -5.013 1.891
-3.329 -1.577 3.896
-1.196 -5.398 4.257
0.252 -2.590 -1.744
-2.370 -1.212 1.650

***

Li2Pm3Ga9 PBE-GGA optimized geometry; space-group type = Immm; crystal system = orthorhombic; DFT total energy = -52.96 eV/cell; ΔE_f = -0.546 eV per atom
1.0
-3.048 1.635 2.566
1.766 -3.013 7.633
3.891 5.976 4.429
Li Pm Ga
2 3 9
Cartesian
1.748 4.176 6.645
0.861 0.422 7.983
0.000 0.000 0.000
-0.319 2.051 5.543
2.928 2.547 9.085
2.828 1.481 6.031
2.436 2.378 12.222
0.173 2.220 2.406
2.996 4.750 11.377
-0.388 -0.152 3.251
0.495 1.271 10.623
2.113 3.327 4.005
1.454 5.326 9.177
1.155 -0.729 5.451

***

Li2PmGa3 PBE-GGA optimized geometry; space-group type = Cmcm; crystal system = orthorhombic; DFT total energy = -40.15 eV/cell; ΔE_f = -0.403 eV per atom
1.0
4.873 0.000 0.000
0.000 6.822 0.076
0.000 -1.296 6.698
Li Pm Ga
4 2 6
Cartesian
2.436 5.039 1.530
0.000 5.039 1.530
0.000 0.486 5.244
2.436 0.486 5.244
1.218 1.762 2.160
3.654 3.764 4.614
3.654 3.016 0.601
3.654 -0.017 3.075
1.218 2.510 6.173
3.654 0.384 0.471
1.218 5.141 6.303
1.218 5.543 3.699

***

Li6PmGa2 PBE-GGA optimized geometry; space-group type = P4/mmm; crystal system = tetragonal; DFT total energy = -24.10 eV/cell; ΔE_f = -0.201 eV per atom
1.0
4.251 0.000 0.000
0.000 4.251 0.000
0.000 0.000 10.013
Li Pm Ga
6 1 2
Cartesian
0.000 2.126 2.862
2.126 0.000 2.862
0.000 2.126 7.151
2.126 0.000 7.151
2.126 2.126 5.007
0.000 0.000 5.007
0.000 0.000 0.000
2.126 2.126 1.245
2.126 2.126 8.768

***

LiPmGa4 PBE-GGA optimized geometry; energy relative to the lowest polymorph listed for this composition = 0.219 eV per formula unit; space-group type = Immm; crystal system = orthorhombic; DFT total energy = -21.53 eV/cell; ΔE_f = -0.459 eV per atom
1.0
0.273 -1.040 4.175
2.535 -5.027 0.809
5.081 1.280 2.213
Li Pm Ga
1 1 4
Cartesian
1.268 -2.513 0.404
2.540 0.640 1.106
4.769 -2.578 4.611
3.119 -2.208 2.585
7.177 -3.464 4.233
0.712 -1.322 2.963

***

Li8PmGa4 PBE-GGA optimized geometry; space-group type = I4/mmm; crystal system = tetragonal; DFT total energy = -35.53 eV/cell; ΔE_f = -0.259 eV per atom
1.0
5.447 0.000 0.000
2.724 6.482 0.000
2.724 0.000 6.482
Li Pm Ga
8 1 4
Cartesian
2.724 2.244 4.238
2.724 4.238 2.244
5.447 4.238 4.238
5.447 2.244 2.244
5.447 5.045 1.437
5.447 1.437 5.045
2.724 1.437 1.437
8.171 5.045 5.045
0.000 0.000 0.000
1.362 0.000 3.241
4.085 0.000 3.241
1.362 3.241 0.000
4.085 3.241 0.000

***

LiPmGa4 PBE-GGA optimized geometry; energy relative to the lowest polymorph listed for this composition = 0.000 eV per formula unit; space-group type = P6/mmm; crystal system = hexagonal; DFT total energy = -21.75 eV/cell; ΔE_f = -0.496 eV per atom
1.0
4.376 0.000 0.000
-2.188 3.789 0.000
0.000 0.000 6.890
Li Pm Ga
1 1 4
Cartesian
0.000 0.000 0.000
0.000 0.000 3.445
0.000 2.526 1.492
0.000 2.526 5.398
2.188 1.263 1.492
2.188 1.263 5.398

***

Li2Pm3Ga7 PBE-GGA optimized geometry; space-group type = P2/m; crystal system = monoclinic; DFT total energy = -44.81 eV/cell; ΔE_f = -0.462 eV per atom
1.0
4.238 0.000 0.000
0.000 4.270 0.000
0.000 -2.126 13.660
Li Pm Ga
2 3 7
Cartesian
2.119 2.134 3.625
2.119 0.010 10.035
2.119 2.135 0.000
0.000 0.006 5.025
0.000 2.139 8.635
2.119 2.140 6.137
2.119 0.004 7.523
0.000 2.135 2.250
0.000 0.000 0.000
0.000 0.009 11.410
2.119 2.146 11.400
2.119 -0.001 2.260

***

LiPm6Ga PBE-GGA optimized geometry; space-group type = I4/mmm; crystal system = tetragonal; DFT total energy = -34.42 eV/cell; ΔE_f = -0.122 eV per atom
1.0
4.940 0.000 1.487
-0.448 4.919 1.488
-0.224 -0.245 9.687
Li Pm Ga
1 6 1
Cartesian
0.000 0.000 0.000
3.253 3.565 7.078
2.771 0.332 8.681
0.078 2.791 8.682
1.497 4.342 3.980
1.014 1.109 5.584
4.189 1.883 3.980
2.246 2.460 1.487